## Ac2ReSi6 (PBE)

Data for a relaxed Ac2ReSi6 crystal.

Cell: 5.4252 6.1605 6.1605 Å, 60.04 90.01 90.01°
Last column: nearest neighbours and their distance in Å.
Fractional positions:
Ac  0.8213  0.6657  0.6657  12 Si 3.19-3.30
Ac  0.1787  0.3343  0.3343  12 Si 3.19-3.30
Re  0.0000  0.0000  0.0000  6 Si 2.50
Si  0.3299  0.3268  0.8380  1 Re 2.50, 2 Si 2.55
Si  0.3284  0.8350  0.8350  1 Re 2.50, 2 Si 2.55
Si  0.3299  0.8380  0.3268  1 Re 2.50, 2 Si 2.55
Si  0.6701  0.6732  0.1620  1 Re 2.50, 2 Si 2.55
Si  0.6716  0.1650  0.1650  1 Re 2.50, 2 Si 2.55
Si  0.6701  0.1620  0.6732  1 Re 2.50, 2 Si 2.55

## Properties
Formation energy (no corrections): -0.323 eV/atom
V: 19.821 Å³/atom

---

## Sc4AlIr (PBE)

Data for a relaxed Sc4AlIr crystal.

Cell: 4.5636 4.5651 6.7482 Å, 89.95 89.97 90.00°
Last column: nearest neighbours and their distance in Å.
Fractional positions:
Sc  0.5012  0.9969  0.2676  2 Ir 2.76, 2 Al 2.92
Sc  0.5014  0.9977  0.7287  2 Ir 2.76, 2 Al 2.92
Sc  0.0015  0.4976  0.7286  2 Ir 2.76, 2 Al 2.92
Sc  0.0011  0.4970  0.2677  2 Ir 2.76, 2 Al 2.92
Al  0.5013  0.4973  0.9981  8 Sc 2.92
Ir  0.0013  0.9973  0.4981  8 Sc 2.76

## Properties
Energy relative to the elements: -0.347 eV/atom
Energy above the most stable polymorph in this dataset: 233 meV/atom
V: 23.431 Å³/atom

---

## KTlS2 (PBE)

Data for a relaxed KTlS2 crystal.

Cell: 6.8682 6.1576 6.1536 Å, 87.26 90.02 90.01°
Last column: nearest neighbours and their distance in Å.
Fractional positions:
S  0.0166  0.5904  0.0961  1 S 2.12
S  0.7366  0.0879  0.6001  1 S 2.12
S  0.5165  0.2533  0.7676  1 S 2.12
S  0.2364  0.7560  0.2642  1 S 2.12
K  0.3760  0.2640  0.2754  6 S 3.18-3.34
K  0.8759  0.5799  0.5883  6 S 3.17-3.34
Tl  0.8765  0.0589  0.0681  4 S 3.03-3.29
Tl  0.3766  0.7847  0.7963  4 S 3.03-3.29

## Properties
Formation energy (no corrections): -0.569 eV/atom
Energy above the most stable polymorph in this dataset: 62 meV/atom
V: 32.493 Å³/atom

---

## Sm5MgSe6 (PBE)

Data for a relaxed Sm5MgSe6 crystal.

Cell: 7.1421 7.1615 7.1886 Å, 60.12 80.40 70.44°
Last column: nearest neighbours and their distance in Å.
Fractional positions:
Mg  0.0000  0.0000  0.0000  6 Se 2.77-2.78
Se  0.7618  0.0788  0.3152  1 Mg 2.77, 5 Sm 2.92-3.03
Se  0.2382  0.6060  0.3152  1 Mg 2.77, 5 Sm 2.92-3.03
Se  0.2418  0.2331  0.0000  1 Mg 2.78, 5 Sm 2.96-3.07
Se  0.7582  0.7669  0.0000  1 Mg 2.78, 5 Sm 2.96-3.07
Se  0.7618  0.3940  0.6848  1 Mg 2.77, 5 Sm 2.92-3.03
Se  0.2382  0.9212  0.6848  1 Mg 2.77, 5 Sm 2.92-3.03
Sm  0.5000  0.1726  0.6547  6 Se 2.92-3.03
Sm  0.0000  0.3334  0.3333  6 Se 2.94-2.96
Sm  0.5000  0.5000  0.0000  6 Se 2.93-3.07
Sm  0.0000  0.6666  0.6667  6 Se 2.94-2.96
Sm  0.5000  0.8274  0.3453  6 Se 2.92-3.03

## Properties
Formation energy (no corrections): -1.690 eV/atom
V: 25.035 Å³/atom

---

## ReTe2IF (PBE)

Data for a relaxed ReTe2IF crystal.

Cell: 4.6352 4.6352 6.5642 Å, 90.00 90.00 90.00°
Last column: nearest neighbours and their distance in Å.
Fractional positions:
I  0.0000  0.0000  0.5000  4 Re 3.28, 2 F 3.28
Re  0.5000  0.5000  0.5000  4 I 3.28
Te  0.0000  0.5000  0.0000  2 F 2.32
Te  0.5000  0.0000  0.0000  2 F 2.32
F  0.0000  0.0000  0.0000  4 Te 2.32

## Properties
Formation energy (no corrections): 0.984 eV/atom
Energy above the most stable polymorph in this dataset: 623 meV/atom
V: 28.206 Å³/atom

---

## MnGa5Pd6 (PBE)

Data for a relaxed MnGa5Pd6 crystal.

Cell: 4.3267 6.3731 6.8762 Å, 90.00 108.82 90.00°
Last column: nearest neighbours and their distance in Å.
Fractional positions:
Mn  0.0000  0.0000  0.0000  8 Pd 2.72-2.74, 4 Ga 2.97-3.01
Pd  0.8306  0.7511  0.6598  7 Ga 2.66-2.74, 1 Mn 2.72
Pd  0.8306  0.2489  0.6598  7 Ga 2.66-2.74, 1 Mn 2.72
Pd  0.5000  0.2631  0.0000  6 Ga 2.64-2.66, 2 Mn 2.74
Pd  0.5000  0.7369  0.0000  6 Ga 2.64-2.66, 2 Mn 2.74
Pd  0.1694  0.7511  0.3402  7 Ga 2.66-2.74, 1 Mn 2.72
Pd  0.1694  0.2489  0.3402  7 Ga 2.66-2.74, 1 Mn 2.72
Ga  0.6661  0.5000  0.3339  8 Pd 2.65-2.69
Ga  0.3423  0.0000  0.6829  8 Pd 2.66-2.74, 1 Mn 2.97
Ga  0.0000  0.5000  0.0000  8 Pd 2.64-2.73
Ga  0.6577  0.0000  0.3171  8 Pd 2.66-2.74, 1 Mn 2.97
Ga  0.3339  0.5000  0.6661  8 Pd 2.65-2.69

## Properties
Energy relative to the elements: -0.531 eV/atom
V: 14.956 Å³/atom

---

## SiAgAs2 (PBE)

Data for a relaxed SiAgAs2 crystal.

Cell: 2.7891 2.7891 9.5374 Å, 90.00 90.00 90.00°
Last column: nearest neighbours and their distance in Å.
Fractional positions:
Ag  0.5000  0.5000  0.7355  4 Ag 2.79, 4 Si 2.89, 4 As 3.00
As  0.0000  0.0000  0.9729  4 As 2.79, 4 Ag 3.00
As  0.5000  0.5000  0.2779  4 As 2.79, 4 Si 2.99
Si  0.0000  0.0000  0.5137  4 Si 2.79, 4 Ag 2.89, 4 As 2.99

## Properties
Formation energy (no corrections): 0.413 eV/atom
V: 18.548 Å³/atom

---

## AcPr (PBE)

Data for a relaxed AcPr crystal.

Cell: 3.8508 3.8508 13.1177 Å, 81.56 81.56 60.00°
Last column: nearest neighbours and their distance in Å.
Fractional positions:
Ac  0.8945  0.8945  0.3164  3 Pr 3.76, 7 Ac 3.82-3.85
Ac  0.9930  0.9930  0.0212  3 Pr 3.78, 7 Ac 3.82-3.85
Pr  0.4052  0.4052  0.7844  9 Pr 3.75-3.85, 3 Ac 3.78
Pr  0.1496  0.1496  0.5511  9 Pr 3.75-3.85, 3 Ac 3.76

## Properties
Energy relative to the elements: 0.084 eV/atom
Energy above the most stable polymorph in this dataset: 44 meV/atom
V: 41.506 Å³/atom

---

What did the seventh record say?
## SiAgAs2 (PBE)

Data for a relaxed SiAgAs2 crystal.

Cell: 2.7891 2.7891 9.5374 Å, 90.00 90.00 90.00°
Last column: nearest neighbours and their distance in Å.
Fractional positions:
Ag  0.5000  0.5000  0.7355  4 Ag 2.79, 4 Si 2.89, 4 As 3.00
As  0.0000  0.0000  0.9729  4 As 2.79, 4 Ag 3.00
As  0.5000  0.5000  0.2779  4 As 2.79, 4 Si 2.99
Si  0.0000  0.0000  0.5137  4 Si 2.79, 4 Ag 2.89, 4 As 2.99

## Properties
Formation energy (no corrections): 0.413 eV/atom
V: 18.548 Å³/atom